A plane-wave DFT calculation with PBE-GGA was carried out for a relaxed Na4Ho3PuTe8 crystal.

abc: 8.874 9.122 8.873
angles: 119.12 120.00 90.00
Last column: magnetic moment on the atom in μB.
Positions (direct):
Te1 0.744 0.731 0.488  0.00
Na1 0.000 0.000 0.000  0.00
Te2 0.247 0.732 0.986  -0.04
Te3 0.247 0.732 0.493  -0.04
Te4 0.753 0.268 0.507  -0.04
Te5 0.753 0.268 0.014  -0.04
Na2 0.500 0.000 0.000  0.00
Te6 0.256 0.269 0.512  0.00
Ho1 0.000 0.500 0.500  0.01
Na3 0.000 0.000 0.500  0.00
Pu1 0.000 0.500 0.000  5.19
Na4 0.500 0.000 0.500  0.00
Ho2 0.500 0.500 0.000  0.01
Ho3 0.500 0.500 0.500  0.01
Te7 0.739 0.732 0.986  -0.04
Te8 0.261 0.268 0.014  -0.04

Output
**DOS at the Fermi energy**: 0.8591 states/eV/atom
**Formation energy from raw total energies**: -1.23 eV per atom
**Crystal system**: trigonal
**Total magnetization**: 5.00 μB per formula unit
**Total DFT energy (no corrections)**: -4.8870 eV/atom